1.
Density functional theory data (PBE) for Mg2Cd3In3 after structural relaxation.

Unit cell a=8.3556 b=8.3556 c=9.6954 alpha=90.00 beta=90.00 gamma=120.00
Space group R32 (No. 155, hexagonal axes)
Inequivalent atoms, fractional coordinates:
Mg: 0.0000 0.0000 0.2476
Cd: 0.0000 0.2502 0.0000
In: 0.0000 0.7518 0.5000

Calculated values
Crystal system: trigonal
Total magnetic moment in μB/cell: 0.0
Volume in Å³/f.u.: 195
Formation enthalpy at 0 K in eV per atom: 0.0130
DOS(E_F) in states/eV/f.u.: 4.68


2.
Density functional theory data (PBE) for Sb4OsSe after structural relaxation.

Unit cell a=6.8453 b=6.8328 c=6.7383 alpha=90.00 beta=92.11 gamma=90.00
Space group P2_1/c (No. 14)
Inequivalent atoms, fractional coordinates:
Sb: 0.0679 0.1441 0.1447
Sb: 0.3572 0.6205 0.1014
Os: 0.0000 0.0000 0.5000
Se: 0.5000 0.0000 0.0000

Calculated values
Crystal system: monoclinic
Total magnetic moment in μB/cell: 0.0
Volume in Å³/f.u.: 157
DOS(E_F) in states/eV/f.u.: 3.08
Raw formation energy in eV/atom: 0.075


3.
Density functional theory data (PBE) for Zn2InFe after structural relaxation.

Unit cell a=2.9696 b=2.9696 c=26.1797 alpha=90.00 beta=90.00 gamma=120.00
Space group R3m (No. 160, hexagonal axes)
Inequivalent atoms, fractional coordinates:
Zn: 0.0000 0.0000 0.0000
Zn: 0.0000 0.0000 0.2517
In: 0.0000 0.0000 0.7585
Fe: 0.0000 0.0000 0.5104

Calculated values
Crystal system: trigonal
Total magnetic moment in μB/cell: 7.4
Volume in Å³/f.u.: 67
Formation enthalpy at 0 K in eV per atom: 0.2559
DOS(E_F) in states/eV/f.u.: 2.79


4.
Density functional theory data (PBE) for Mg3InPd2 after structural relaxation.

Unit cell a=3.1682 b=3.1682 c=11.0475 alpha=90.00 beta=90.00 gamma=90.00
Space group P4/mmm (No. 123)
Inequivalent atoms, fractional coordinates:
Mg: 0.0000 0.0000 0.0000
Mg: 0.0000 0.0000 0.2896
In: 0.5000 0.5000 0.5000
Pd: 0.5000 0.5000 0.1491

Calculated values
Crystal system: tetragonal
Total magnetic moment in μB/cell: 0.0
Volume in Å³/f.u.: 111
Formation enthalpy at 0 K in eV per atom: -0.5470
DOS(E_F) in states/eV/f.u.: 1.65


5.
Density functional theory data (PBE) for ReAs2Br after structural relaxation.

Unit cell a=7.7997 b=4.5147 c=5.0453 alpha=90.00 beta=120.83 gamma=90.00
Space group Cm (No. 8)
Inequivalent atoms, fractional coordinates:
Re: 0.0000 0.0000 0.0000
As: 0.0740 0.5000 0.7190
As: 0.2807 0.5000 0.3448
Br: 0.3147 0.0000 0.9445

Calculated values
Crystal system: monoclinic
Total magnetic moment in μB/cell: 0.0
Volume in Å³/f.u.: 76
DOS(E_F) in states/eV/f.u.: 1.26
Raw formation energy in eV/atom: 0.831


6.
Density functional theory data (PBE) for La4Tb6Nd after structural relaxation.

Unit cell a=6.8478 b=6.8478 c=16.8214 alpha=90.00 beta=90.00 gamma=90.00
Space group I-42m (No. 121)
Inequivalent atoms, fractional coordinates:
La: 0.1912 0.1912 0.1771
Tb: 0.0000 0.5000 0.0000
Tb: 0.1733 0.1733 0.3836
Nd: 0.0000 0.0000 0.0000

Calculated values
Crystal system: tetragonal
Total magnetic moment in μB/cell: 0.0
Volume in Å³/f.u.: 394
Formation enthalpy at 0 K in eV per atom: 0.2933
DOS(E_F) in states/eV/f.u.: 15.54


7.
Density functional theory data (PBE) for Tb7Pm2Er3 after structural relaxation.

Unit cell a=5.7802 b=3.5870 c=18.7217 alpha=90.00 beta=93.71 gamma=90.00
Space group P2/m (No. 10)
Inequivalent atoms, fractional coordinates:
Tb: 0.0000 0.0000 0.0000
Tb: 0.1802 0.5000 0.1768
Tb: 0.2583 0.5000 0.5372
Tb: 0.3223 0.0000 0.8577
Pm: 0.2949 0.5000 0.7049
Er: 0.2195 0.0000 0.3695
Er: 0.5000 0.5000 0.0000

Calculated values
Crystal system: monoclinic
Total magnetic moment in μB/cell: 0.0
Volume in Å³/f.u.: 387
Formation enthalpy at 0 K in eV per atom: 0.0859
DOS(E_F) in states/eV/f.u.: 14.67


8.
Density functional theory data (PBE) for CdSbO2 after structural relaxation.

Unit cell a=6.1055 b=6.1055 c=6.1055 alpha=90.00 beta=90.00 gamma=90.00
Space group Fm-3m (No. 225)
Inequivalent atoms, fractional coordinates:
Cd: 0.0000 0.0000 0.0000
Sb: 0.0000 0.0000 0.5000
O: 0.2500 0.2500 0.2500

Calculated values
Crystal system: cubic
Total magnetic moment in μB/cell: 0.0
Volume in Å³/f.u.: 57
DOS(E_F) in states/eV/f.u.: 0.93
Raw formation energy in eV/atom: -0.351


9.
Density functional theory data (PBE) for CrInFe2 after structural relaxation.

Unit cell a=6.1172 b=6.1172 c=6.1172 alpha=90.00 beta=90.00 gamma=90.00
Space group F-43m (No. 216)
Inequivalent atoms, fractional coordinates:
Cr: 0.0000 0.0000 0.0000
In: 0.2500 0.2500 0.2500
Fe: 0.0000 0.0000 0.5000
Fe: 0.2500 0.2500 0.7500

Calculated values
Crystal system: cubic
Total magnetic moment in μB/cell: 7.7
Volume in Å³/f.u.: 57
Formation enthalpy at 0 K in eV per atom: 0.3034
DOS(E_F) in states/eV/f.u.: 3.69


10.
Density functional theory data (PBE) for Zr3BiAu after structural relaxation.

Unit cell a=5.2083 b=5.2083 c=5.2083 alpha=90.00 beta=90.00 gamma=90.00
Space group Pm-3m (No. 221)
Inequivalent atoms, fractional coordinates:
Zr: 0.0000 0.0000 0.5000
Bi: 0.5000 0.5000 0.5000
Au: 0.0000 0.0000 0.0000

Calculated values
Crystal system: cubic
Total magnetic moment in μB/cell: 0.0
Volume in Å³/f.u.: 141
Formation enthalpy at 0 K in eV per atom: 0.3455
DOS(E_F) in states/eV/f.u.: 7.43


11.
Density functional theory data (PBE) for Pr2Nd4Dy after structural relaxation.

Unit cell a=9.4223 b=16.0078 c=7.0148 alpha=90.00 beta=112.58 gamma=90.00
Space group Cc (No. 9)
Inequivalent atoms, fractional coordinates:
Pr: 0.0000 0.1156 0.0000
Pr: 0.0548 0.3274 0.2777
Nd: 0.1078 0.1129 0.5476
Nd: 0.2358 0.4832 0.0517
Nd: 0.3608 0.1956 0.2517
Nd: 0.3813 0.0182 0.0039
Dy: 0.2452 0.3024 0.8010

Calculated values
Crystal system: monoclinic
Total magnetic moment in μB/cell: 0.0
Volume in Å³/f.u.: 244
Formation enthalpy at 0 K in eV per atom: 0.1196
DOS(E_F) in states/eV/f.u.: 10.58


12.
Density functional theory data (PBE) for Ac5Tb2Nd5 after structural relaxation.

Unit cell a=18.0985 b=5.9735 c=10.4089 alpha=90.00 beta=124.85 gamma=90.00
Space group C2/m (No. 12)
Inequivalent atoms, fractional coordinates:
Ac: 0.0000 0.0000 0.0000
Ac: 0.1222 0.0000 0.4595
Ac: 0.2482 0.5000 0.7575
Tb: 0.1263 0.0000 0.7980
Nd: 0.0000 0.5000 0.5000
Nd: 0.1225 0.5000 0.2839
Nd: 0.1236 0.5000 0.9543

Calculated values
Crystal system: monoclinic
Total magnetic moment in μB/cell: 0.0
Volume in Å³/f.u.: 462
Formation enthalpy at 0 K in eV per atom: 0.0719
DOS(E_F) in states/eV/f.u.: 18.27


13.
Density functional theory data (PBE) for Li2MgAg2 after structural relaxation.

Unit cell a=7.5008 b=7.5008 c=3.1795 alpha=90.00 beta=90.00 gamma=90.00
Space group P4/mbm (No. 127)
Inequivalent atoms, fractional coordinates:
Li: 0.1575 0.3425 0.0000
Mg: 0.0000 0.0000 0.5000
Ag: 0.1388 0.6388 0.5000

Calculated values
Crystal system: tetragonal
Total magnetic moment in μB/cell: 0.0
Volume in Å³/f.u.: 89
Formation enthalpy at 0 K in eV per atom: -0.1590
DOS(E_F) in states/eV/f.u.: 1.75


14.
Density functional theory data (PBE) for La2AsOsC after structural relaxation.

Unit cell a=5.3188 b=5.3188 c=3.9236 alpha=90.00 beta=90.00 gamma=90.00
Space group P4/mmm (No. 123)
Inequivalent atoms, fractional coordinates:
La: 0.0000 0.5000 0.0000
As: 0.0000 0.0000 0.5000
Os: 0.5000 0.5000 0.5000
C: 0.5000 0.5000 0.0000

Calculated values
Crystal system: tetragonal
Total magnetic moment in μB/cell: 0.0
Volume in Å³/f.u.: 111
Formation enthalpy at 0 K in eV per atom: -0.5182
DOS(E_F) in states/eV/f.u.: 3.47


15.
Density functional theory data (PBE) for Pm2Zn5Cu12 after structural relaxation.

Unit cell a=8.7315 b=8.7315 c=12.7538 alpha=90.00 beta=90.00 gamma=120.00
Space group R-3m (No. 166, hexagonal axes)
Inequivalent atoms, fractional coordinates:
Pm: 0.0000 0.0000 0.1491
Zn: 0.0000 0.0000 0.4006
Zn: 0.0000 0.5000 0.0000
Cu: 0.0000 0.2996 0.5000
Cu: 0.9995 0.4998 0.3462

Calculated values
Crystal system: trigonal
Total magnetic moment in μB/cell: 0.0
Volume in Å³/f.u.: 281
Formation enthalpy at 0 K in eV per atom: -0.1538
DOS(E_F) in states/eV/f.u.: 11.23


16.
Density functional theory data (PBE) for Zr2FeTcI after structural relaxation.

Unit cell a=5.2344 b=5.2344 c=4.4573 alpha=90.00 beta=90.00 gamma=90.00
Space group P4/mmm (No. 123)
Inequivalent atoms, fractional coordinates:
Zr: 0.0000 0.5000 0.0000
Fe: 0.0000 0.0000 0.5000
Tc: 0.5000 0.5000 0.5000
I: 0.0000 0.0000 0.0000

Calculated values
Crystal system: tetragonal
Total magnetic moment in μB/cell: 3.7
Volume in Å³/f.u.: 122
DOS(E_F) in states/eV/f.u.: 5.84
Raw formation energy in eV/atom: 1.453


17.
Density functional theory data (PBE) for LaGdMgSi after structural relaxation.

Unit cell a=7.4122 b=7.4122 c=7.4122 alpha=90.00 beta=90.00 gamma=90.00
Space group F-43m (No. 216)
Inequivalent atoms, fractional coordinates:
La: 0.0000 0.0000 0.0000
Gd: 0.0000 0.0000 0.5000
Mg: 0.2500 0.2500 0.2500
Si: 0.2500 0.2500 0.7500

Calculated values
Crystal system: cubic
Total magnetic moment in μB/cell: 28.9
Volume in Å³/f.u.: 102
DOS(E_F) in states/eV/f.u.: 3.33
Raw formation energy in eV/atom: -0.298


18.
Density functional theory data (PBE) for Ho4Zn3Ga after structural relaxation.

Unit cell a=3.6829 b=4.4514 c=11.2562 alpha=90.00 beta=90.00 gamma=90.00
Space group Pmm2 (No. 25)
Inequivalent atoms, fractional coordinates:
Ho: 0.0000 0.0000 0.0000
Ho: 0.0000 0.5000 0.3002
Ho: 0.5000 0.0000 0.4957
Ho: 0.5000 0.5000 0.8017
Zn: 0.0000 0.5000 0.5785
Zn: 0.5000 0.0000 0.2197
Zn: 0.5000 0.5000 0.0789
Ga: 0.0000 0.0000 0.7223

Calculated values
Crystal system: orthorhombic
Total magnetic moment in μB/cell: 0.0
Volume in Å³/f.u.: 185
Formation enthalpy at 0 K in eV per atom: -0.3731
DOS(E_F) in states/eV/f.u.: 6.92


19.
Density functional theory data (PBE) for Pr4HoTm2Sc after structural relaxation.

Unit cell a=5.1342 b=5.1342 c=9.8106 alpha=90.00 beta=90.00 gamma=90.00
Space group P4/mmm (No. 123)
Inequivalent atoms, fractional coordinates:
Pr: 0.0000 0.5000 0.2449
Ho: 0.0000 0.0000 0.5000
Tm: 0.0000 0.0000 0.0000
Tm: 0.5000 0.5000 0.5000
Sc: 0.5000 0.5000 0.0000

Calculated values
Crystal system: tetragonal
Total magnetic moment in μB/cell: 0.0
Volume in Å³/f.u.: 259
Formation enthalpy at 0 K in eV per atom: 0.0303
DOS(E_F) in states/eV/f.u.: 10.18


20.
Density functional theory data (PBE) for BaAg2PtBr8 after structural relaxation.

Unit cell a=7.2953 b=7.2953 c=7.9629 alpha=90.00 beta=90.00 gamma=120.00
Space group P-3m1 (No. 164)
Inequivalent atoms, fractional coordinates:
Ba: 0.0000 0.0000 0.0000
Ag: 0.3333 0.6667 0.4074
Pt: 0.0000 0.0000 0.5000
Br: 0.1649 0.3297 0.6752
Br: 0.3333 0.6667 0.0826

Calculated values
Crystal system: trigonal
Total magnetic moment in μB/cell: 0.0
Volume in Å³/f.u.: 367
Raw formation energy in eV/atom: -0.673


21.
Density functional theory data (PBE) for Cs3Tl2I3Br2 after structural relaxation.

Unit cell a=5.6504 b=5.6504 c=36.3704 alpha=90.00 beta=90.00 gamma=90.00
Space group I4/mmm (No. 139)
Inequivalent atoms, fractional coordinates:
Cs: 0.0000 0.0000 0.0000
Cs: 0.0000 0.0000 0.3923
Tl: 0.0000 0.0000 0.2103
I: 0.0000 0.0000 0.1056
I: 0.0000 0.0000 0.5000
Br: 0.0000 0.5000 0.2500

Calculated values
Crystal system: tetragonal
Total magnetic moment in μB/cell: 0.0
Volume in Å³/f.u.: 581
DOS(E_F) in states/eV/f.u.: 0.00
Raw formation energy in eV/atom: -1.223


22.
Density functional theory data (PBE) for Tb8Ge3Te4Ir after structural relaxation.

Unit cell a=8.4662 b=8.4662 c=21.4810 alpha=90.00 beta=90.00 gamma=120.00
Space group R-3m (No. 166, hexagonal axes)
Inequivalent atoms, fractional coordinates:
Tb: 0.0000 0.0000 0.2412
Tb: 0.0051 0.5026 0.2383
Ge: 0.0000 0.5000 0.5000
Te: 0.0000 0.0000 0.0000
Te: 0.0000 0.5000 0.0000
Ir: 0.0000 0.0000 0.5000

Calculated values
Crystal system: trigonal
Total magnetic moment in μB/cell: 0.0
Volume in Å³/f.u.: 444
DOS(E_F) in states/eV/f.u.: 5.58
Raw formation energy in eV/atom: -1.141